Here is a geometry-optimized CoH12C4O10 structure from OQMD via LeMat-Bulk. Energies are from GGA+U.

a b c (Å): 8.8749 10.1770 4.9204
angles (deg): 90.00 94.89 90.00
Space group P2_1/c (No. 14)
Symmetry-distinct sites (fractional):
Co 0.0000 0.0000 0.0000
H 0.0062 0.2474 0.8169
H 0.1420 0.5699 0.0704
H 0.1705 0.1796 0.8820
H 0.2223 0.6397 0.3359
H 0.3710 0.7295 0.6600
H 0.4864 0.6662 0.4649
C 0.3142 0.0559 0.2511
C 0.4431 0.0165 0.4319
O 0.0657 0.1659 0.7971
O 0.1202 0.6163 0.2427
O 0.1862 0.0054 0.2910
O 0.3375 0.1369 0.0630
O 0.3781 0.6951 0.4721

## Properties
Final energy ... -155.1 eV/f.u.